# Pr2Ga4Cu3Rh (GGA-PBE, optimized geometry)
data_Pr2Ga4Cu3Rh
_cell_length_a 4.217
_cell_length_b 4.217
_cell_length_c 10.360
_cell_angle_alpha 90.00
_cell_angle_beta 90.00
_cell_angle_gamma 90.00
_space_group_name_H-M_alt 'P 1'
_space_group_IT_number 1
loop_
_space_group_symop_operation_xyz
'x,y,z'
loop_
_atom_site_label
_atom_site_type_symbol
_atom_site_fract_x
_atom_site_fract_y
_atom_site_fract_z
Pr1 Pr 0.000 0.500 0.250
Pr2 Pr 0.500 0.000 0.750
Ga1 Ga 0.000 0.000 0.000
Ga2 Ga 0.000 0.500 0.630
Ga3 Ga 0.500 0.000 0.370
Ga4 Ga 0.500 0.500 0.000
Cu1 Cu 0.000 0.500 0.868
Cu2 Cu 0.500 0.000 0.132
Cu3 Cu 0.500 0.500 0.500
Rh1 Rh 0.000 0.000 0.500
# Crystal system   tetragonal
# DFT formation energy   -512 meV per atom
# Symmetry   No. 115
# Electronic total energy   -4.64 eV/atom